DFT (PBEsol) results for an optimized crystal structure of SmCdCu.

a b c (Å): 7.4260 7.4260 3.9142
angles (deg): 90.00 90.00 120.00
Closest atoms and distances in Å follow each position.
Fractional positions:
Sm  0.0000  0.5874  0.0000  5 Cu 2.97-3.06, 6 Cd 3.19-3.31
Sm  0.4126  0.4126  0.0000  5 Cu 2.97-3.06, 6 Cd 3.19-3.31
Sm  0.5874  0.0000  0.0000  5 Cu 2.97-3.06, 6 Cd 3.19-3.31
Cd  0.0000  0.2484  0.5000  4 Cu 2.69-2.84
Cd  0.2484  0.0000  0.5000  4 Cu 2.69-2.84
Cd  0.7516  0.7516  0.5000  4 Cu 2.69-2.84
Cu  0.0000  0.0000  0.0000  6 Cd 2.69
Cu  0.3333  0.6667  0.5000  3 Cd 2.84, 6 Sm 2.97
Cu  0.6667  0.3333  0.5000  3 Cd 2.84, 6 Sm 2.97

## Properties
SG ... P-62m (189)
Formation energy from the elements ... -285 meV per atom